A relaxed RbSr3V4O12 crystal, computed with GGA+U.

a = 7.675 Å, b = 7.675 Å, c = 7.675 Å
α = 105.92°, β = 105.92°, γ = 105.92°
Atoms (fractional coordinates):
Rb (0.000, 0.000, 0.000)
Sr (0.000, 0.556, 0.444)
Sr (0.444, 0.000, 0.556)
Sr (0.556, 0.444, 0.000)
V (0.060, 0.500, 0.940)
V (0.500, 0.500, 0.500)
V (0.500, 0.940, 0.060)
V (0.940, 0.060, 0.500)
O (0.053, 0.633, 0.793)
O (0.081, 0.919, 0.500)
O (0.207, 0.367, 0.947)
O (0.358, 0.642, 0.500)
O (0.367, 0.947, 0.207)
O (0.500, 0.081, 0.919)
O (0.500, 0.358, 0.642)
O (0.633, 0.793, 0.053)
O (0.642, 0.500, 0.358)
O (0.793, 0.053, 0.633)
O (0.919, 0.500, 0.081)
O (0.947, 0.207, 0.367)

Properties
M_tot in μB per atom: 0.1500
Electronic total energy in eV for the cell shown: -136.94
Calculated volume in Å³/cell: 387.07
ρ in Mg/m³: 3.2